Entry P
{
  "formula": "BaTaCl",
  "functional": "GGA-PBE",
  "state": "optimized geometry",
  "mass_density_g_cm3": 7.94,
  "lattice_angstrom": [[-1.638, 1.638, 6.895], [1.638, -1.638, 6.895], [1.638, 1.638, -6.895]],
  "species": ["Ba", "Ta", "Cl"],
  "fractional_positions": [[0.000, 0.000, 0.000], [0.305, 0.305, 0.000], [0.700, 0.700, 0.000]]
}

=====

Entry Q
{
  "formula": "BaTaCl",
  "functional": "GGA-PBE",
  "state": "optimized geometry",
  "mass_density_g_cm3": 4.60,
  "lattice_angstrom": [[0.000, 3.996, 3.996], [3.996, 0.000, 3.996], [3.996, 3.996, 0.000]],
  "species": ["Ba", "Ta", "Cl"],
  "fractional_positions": [[0.000, 0.000, 0.000], [0.750, 0.750, 0.750], [0.250, 0.250, 0.250]]
}

=====

The structure with the most favorable energy is entry P; the runner-up is 0.786 eV/atom above it.